# ZrNi2OsAu PBE optimized geometry
data_ZrNi2OsAu
_symmetry_space_group_name_H-M 'P 4/m m m'
_symmetry_Int_Tables_number 123
_symmetry_space_group_name_Hall '-P 4 2'
_cell_length_a 4.441
_cell_length_b 4.441
_cell_length_c 5.017
_cell_angle_alpha 90.00
_cell_angle_beta 90.00
_cell_angle_gamma 90.00
loop_
_atom_site_label
_atom_site_type_symbol
_atom_site_fract_x
_atom_site_fract_y
_atom_site_fract_z
Zr1 Zr 0.000 0.000 0.000
Ni1 Ni 0.000 0.500 0.500
Os1 Os 0.500 0.500 0.500
Au1 Au 0.500 0.500 0.000
# density of states at the Fermi level	6.46	states/eV/f.u.
# energy	-5.956	eV/atom
# ΔH_f (0 K)	4.8	eV/f.u.

=====

# NiP2Au PBE optimized geometry
data_NiP2Au
_symmetry_space_group_name_H-M 'P 1 2/m 1'
_symmetry_Int_Tables_number 10
_symmetry_space_group_name_Hall '-P 2y'
_cell_length_a 3.800
_cell_length_b 3.885
_cell_length_c 4.347
_cell_angle_alpha 90.00
_cell_angle_beta 91.85
_cell_angle_gamma 90.00
loop_
_atom_site_label
_atom_site_type_symbol
_atom_site_fract_x
_atom_site_fract_y
_atom_site_fract_z
Ni1 Ni 0.000 0.000 0.000
P1 P 0.277 0.500 0.157
Au1 Au 0.500 0.000 0.500
# density of states at the Fermi level	2.01	states/eV/f.u.
# energy	-4.959	eV/atom
# ΔH_f (0 K)	0.0	eV/f.u.

=====

# NiP2Au PBE optimized geometry
data_NiP2Au
_symmetry_space_group_name_H-M 'I -4 m 2'
_symmetry_Int_Tables_number 119
_symmetry_space_group_name_Hall 'I -4 -2'
_cell_length_a 3.771
_cell_length_b 3.771
_cell_length_c 8.226
_cell_angle_alpha 90.00
_cell_angle_beta 90.00
_cell_angle_gamma 90.00
loop_
_atom_site_label
_atom_site_type_symbol
_atom_site_fract_x
_atom_site_fract_y
_atom_site_fract_z
Ni1 Ni 0.000 0.000 0.000
P1 P 0.000 0.000 0.500
P2 P 0.000 0.500 0.750
Au1 Au 0.000 0.500 0.250
# density of states at the Fermi level	1.56	states/eV/f.u.
# energy	-4.585	eV/atom
# ΔH_f (0 K)	1.5	eV/f.u.

=====

Q: ΔH_f (0 K) of number 1 (ZrNi2OsAu)?
A: 4.8 eV/f.u.

=====

Q: Among the records above, which one has the highest ΔH_f (0 K)?
A: ZrNi2OsAu

=====

Q: What is the formula in the first record?
A: ZrNi2OsAu